The following is a PBE-GGA calculation of Ac5Ga2Pb5 after structural relaxation, from Alexandria via LeMat-Bulk.

VASP energy: -4.263 eV/atom
Formation enthalpy at 0 K: -48.39 kJ/mol of atoms

CIF file:
```
data_Ac5Ga2Pb5
_chemical_formula_sum 'Ac10 Ga4 Pb10'
_symmetry_space_group_name_H-M 'C 1 2/m 1'
_symmetry_Int_Tables_number 12
_cell_length_a 17.241
_cell_length_b 4.758
_cell_length_c 13.074
_cell_angle_alpha 90.00
_cell_angle_beta 130.34
_cell_angle_gamma 90.00
loop_
_symmetry_equiv_pos_as_xyz
'x,y,z'
'-x,-y,-z'
'-x,y,-z'
'x,-y,z'
'x+1/2,y+1/2,z'
'-x+1/2,-y+1/2,-z'
'-x+1/2,y+1/2,-z'
'x+1/2,-y+1/2,z'
loop_
_atom_site_label
_atom_site_fract_x
_atom_site_fract_y
_atom_site_fract_z
_atom_site_occupancy
Ac1 0.000 0.000 0.000 1
Ac2 0.116 0.000 0.426 1
Ac3 0.198 0.000 0.831 1
Ga1 0.146 0.500 0.274 1
Pb1 0.000 0.500 0.500 1
Pb2 0.064 0.500 0.856 1
Pb3 0.248 0.500 0.695 1
```

=====

The following is a PBE-GGA calculation of Hf2TlGa after structural relaxation, from Alexandria via LeMat-Bulk.

VASP energy: -6.264 eV/atom
Formation enthalpy at 0 K: 5.88 kJ/mol of atoms
E above lowest polymorph: 156 meV per atom

CIF file:
```
data_Hf2TlGa
_chemical_formula_sum 'Hf8 Tl4 Ga4'
_symmetry_space_group_name_H-M 'F m -3 m'
_symmetry_Int_Tables_number 225
_symmetry_space_group_name_Hall '-F 4 2 3'
_cell_length_a 6.929
_cell_length_b 6.929
_cell_length_c 6.929
_cell_angle_alpha 90.00
_cell_angle_beta 90.00
_cell_angle_gamma 90.00
loop_
_atom_site_label
_atom_site_fract_x
_atom_site_fract_y
_atom_site_fract_z
_atom_site_occupancy
Hf1 0.250 0.250 0.250 1
Tl1 0.000 0.000 0.000 1
Ga1 0.000 0.000 0.500 1
```

=====

The following is a PBE-GGA calculation of Ac3NdS4 after structural relaxation, from Alexandria via LeMat-Bulk.

VASP energy: -6.206 eV/atom
E above lowest polymorph: 0 meV per atom

CIF file:
```
data_Ac3NdS4
_chemical_formula_sum 'Ac6 Nd2 S8'
_symmetry_space_group_name_H-M 'P 1 2/c 1'
_symmetry_Int_Tables_number 13
_cell_length_a 7.386
_cell_length_b 8.443
_cell_length_c 7.375
_cell_angle_alpha 90.00
_cell_angle_beta 109.35
_cell_angle_gamma 90.00
loop_
_symmetry_equiv_pos_as_xyz
'x,y,z'
'-x,-y,-z'
'-x,y,-z+1/2'
'x,-y,z+1/2'
loop_
_atom_site_label
_atom_site_fract_x
_atom_site_fract_y
_atom_site_fract_z
_atom_site_occupancy
Ac1 0.000 0.124 0.250 1
Ac2 0.000 0.374 0.750 1
Ac3 0.500 0.373 0.250 1
Nd1 0.500 0.123 0.750 1
S1 0.256 0.370 0.505 1
S2 0.260 0.120 0.000 1
```

=====

The following is a PBE-GGA calculation of TeAs2I3 after structural relaxation, from Alexandria via LeMat-Bulk.

VASP energy: -2.772 eV/atom

CIF file:
```
data_TeAs2I3
_chemical_formula_sum 'Te4 As8 I12'
_symmetry_space_group_name_H-M 'C 1 2/m 1'
_symmetry_Int_Tables_number 12
_cell_length_a 21.381
_cell_length_b 4.050
_cell_length_c 15.457
_cell_angle_alpha 90.00
_cell_angle_beta 133.23
_cell_angle_gamma 90.00
loop_
_symmetry_equiv_pos_as_xyz
'x,y,z'
'-x,-y,-z'
'-x,y,-z'
'x,-y,z'
'x+1/2,y+1/2,z'
'-x+1/2,-y+1/2,-z'
'-x+1/2,y+1/2,-z'
'x+1/2,-y+1/2,z'
loop_
_atom_site_label
_atom_site_fract_x
_atom_site_fract_y
_atom_site_fract_z
_atom_site_occupancy
Te1 0.089 0.000 0.165 1
As1 0.092 0.000 0.979 1
As2 0.141 0.500 0.334 1
I1 0.039 0.500 0.782 1
I2 0.186 0.000 0.538 1
I3 0.232 0.500 0.124 1
```

=====

The following is a PBE-GGA calculation of TlInHg2Rh after structural relaxation, from Alexandria via LeMat-Bulk.

VASP energy: -2.588 eV/atom
Formation enthalpy at 0 K: 2.31 kJ/mol of atoms

CIF file:
```
data_TlInHg2Rh
_chemical_formula_sum 'Tl1 In1 Hg2 Rh1'
_symmetry_space_group_name_H-M 'P 4/m m m'
_symmetry_Int_Tables_number 123
_symmetry_space_group_name_Hall '-P 4 2'
_cell_length_a 5.308
_cell_length_b 5.308
_cell_length_c 5.120
_cell_angle_alpha 90.00
_cell_angle_beta 90.00
_cell_angle_gamma 90.00
loop_
_atom_site_label
_atom_site_fract_x
_atom_site_fract_y
_atom_site_fract_z
_atom_site_occupancy
Tl1 0.000 0.000 0.000 1
In1 0.500 0.500 0.000 1
Hg1 0.000 0.500 0.500 1
Rh1 0.500 0.500 0.500 1
```

=====

The following is a PBE-GGA calculation of GaTeI2 after structural relaxation, from Alexandria via LeMat-Bulk.

VASP energy: -2.178 eV/atom
E above lowest polymorph: 400 meV per atom

CIF file:
```
data_GaTeI2
_chemical_formula_sum 'Ga4 Te4 I8'
_symmetry_space_group_name_H-M 'I -4 2 d'
_symmetry_Int_Tables_number 122
_symmetry_space_group_name_Hall 'I -4 2bw'
_cell_length_a 5.648
_cell_length_b 5.648
_cell_length_c 20.280
_cell_angle_alpha 90.00
_cell_angle_beta 90.00
_cell_angle_gamma 90.00
loop_
_atom_site_label
_atom_site_fract_x
_atom_site_fract_y
_atom_site_fract_z
_atom_site_occupancy
Ga1 0.000 0.000 0.000 1
Te1 0.000 0.000 0.500 1
I1 0.232 0.250 0.625 1
```